(1)
VASP calculation (PBE) on an optimized crystal structure of NbGaOsRh.

Results
Raw total energy   -32.997 eV per cell
Energy above the lowest structure with this stoichiometry   56.0 meV per atom

Geometry as POSCAR:
```
NbGaOsRh
1.0
-0.641 1.024 4.260
-1.956 -2.908 2.706
2.362 -2.033 3.145
Nb Rh Ga Os
1 1 1 1
direct
0.000 0.000 0.000
0.750 0.750 0.750
0.500 0.500 0.500
0.250 0.250 0.250
```

(2)
VASP calculation (PBE) on an optimized crystal structure of ScNb2GaOs.

Results
Raw total energy   -31.390 eV per cell

Geometry as POSCAR:
```
ScNb2GaOs
1.0
4.583 0.000 0.000
0.000 4.751 0.000
0.000 0.000 4.583
Ga Nb Os Sc
1 2 1 1
direct
0.000 0.500 0.000
0.000 0.000 0.500
0.500 0.000 0.000
0.500 0.500 0.500
0.000 0.000 0.000
```

(3)
VASP calculation (PBE) on an optimized crystal structure of ScNbGaOs.

Results
Raw total energy   -31.855 eV per cell

Geometry as POSCAR:
```
ScNbGaOs
1.0
-3.211 -0.249 3.249
-3.241 -3.220 -0.229
0.018 -3.479 2.971
Ga Os Nb Sc
1 1 1 1
direct
0.250 0.250 0.250
0.750 0.750 0.750
0.500 0.500 0.500
0.000 0.000 0.000
```

For reference, DOS at the Fermi energy by record: 4.56 6.35 3.38 states/eV/f.u..